VASP calculation (GGA-PBE) on a relaxed LaC2I crystal.

Cell and atoms, written as POSCAR:
```
LaC2I
1.0
6.565 0.000 0.000
0.000 6.565 0.000
0.000 0.000 6.565
La C I
4 8 4
Direct
0.000 0.000 0.000
0.000 0.500 0.500
0.500 0.000 0.500
0.500 0.500 0.000
0.250 0.250 0.250
0.250 0.250 0.750
0.250 0.750 0.250
0.250 0.750 0.750
0.750 0.250 0.250
0.750 0.250 0.750
0.750 0.750 0.250
0.750 0.750 0.750
0.000 0.000 0.500
0.000 0.500 0.000
0.500 0.000 0.000
0.500 0.500 0.500
```

Results
Formation energy (no corrections)   1711.8 meV/atom
Density of states at the Fermi level   0.9693 states/eV/atom
Symmetry   Fm-3m (225)

=====

VASP calculation (GGA-PBE) on a relaxed Ba4Zn2Cl crystal.

Cell and atoms, written as POSCAR:
```
Ba4Zn2Cl
1.0
6.295 0.000 0.000
0.000 6.295 0.000
0.000 0.000 15.669
Ba Zn Cl
8 4 2
Direct
0.000 0.000 0.208
0.000 0.000 0.792
0.000 0.500 0.000
0.000 0.500 0.500
0.500 0.000 0.000
0.500 0.000 0.500
0.500 0.500 0.292
0.500 0.500 0.708
0.000 0.000 0.416
0.000 0.000 0.584
0.500 0.500 0.084
0.500 0.500 0.916
0.000 0.000 0.000
0.500 0.500 0.500
```

Results
Formation energy (no corrections)   -516.1 meV/atom
Density of states at the Fermi level   1.5237 states/eV/atom
Symmetry   I4/mmm (139)